--- A ---
This record from Alexandria via LeMat-Bulk describes a relaxed SrDy2Ho crystal. The functional is PBE.

Results
As for the magnetization: 0.0 μB/f.u.

a = 3.6640 Å, b = 3.6640 Å, c = 10.5557 Å
α = 90.00°, β = 90.00°, γ = 90.00°
Last column: nearest neighbours and their distance in Å.
Space group P4/mmm (No. 123)
Symmetry-distinct sites (fractional):
Sr: 0.0000 0.0000 0.0000  4 Sr 3.66, 8 Dy 3.93
Dy: 0.5000 0.5000 0.2798  4 Ho 3.48, 4 Dy 3.66
Ho: 0.0000 0.0000 0.5000  8 Dy 3.48, 4 Ho 3.66

--- B ---
This record from Alexandria via LeMat-Bulk describes a relaxed SrDy2Ho crystal. The functional is PBE.

Results
As for the magnetization: 0.0 μB/f.u.

a = 3.6587 Å, b = 3.6587 Å, c = 36.2966 Å
α = 90.00°, β = 90.00°, γ = 120.00°
Last column: nearest neighbours and their distance in Å.
Space group R3m (No. 160, hexagonal axes)
Symmetry-distinct sites (fractional):
Sr: 0.0000 0.0000 0.0000  6 Sr 3.66, 6 Dy 3.87-3.91
Dy: 0.0000 0.0000 0.5761  3 Ho 3.50, 6 Dy 3.66, 3 Sr 3.91
Dy: 0.0000 0.0000 0.7561  3 Ho 3.48, 6 Dy 3.66, 3 Sr 3.87
Ho: 0.0000 0.0000 0.1658  6 Dy 3.48-3.50, 6 Ho 3.66

--- C ---
This record from Alexandria via LeMat-Bulk describes a relaxed SrDy2Ho crystal. The functional is PBE.

Results
As for the magnetization: 0.0 μB/f.u.

a = 3.5940 Å, b = 3.5940 Å, c = 38.2449 Å
α = 90.00°, β = 90.00°, γ = 120.00°
Last column: nearest neighbours and their distance in Å.
Space group R-3m (No. 166, hexagonal axes)
Symmetry-distinct sites (fractional):
Sr: 0.0000 0.0000 0.0000  2 Dy 3.57, 6 Sr 3.59
Dy: 0.0000 0.0000 0.0933  3 Ho 3.49, 1 Sr 3.57, 6 Dy 3.59
Ho: 0.0000 0.0000 0.5000  6 Dy 3.49, 6 Ho 3.59

Stability summary: most stable A, least stable C.

--- A ---
This record from Alexandria via LeMat-Bulk describes a relaxed Tb2Dy3Ho3 crystal. The functional is PBE.

Results
As for the magnetization: 0.0 μB/f.u.

a = 23.6958 Å, b = 3.5464 Å, c = 6.1430 Å
α = 90.00°, β = 105.00°, γ = 90.00°
Last column: nearest neighbours and their distance in Å.
Space group C2/m (No. 12)
Symmetry-distinct sites (fractional):
Tb: 0.2499 0.0000 0.2498  3 Ho 3.52-3.53, 3 Dy 3.52-3.53, 6 Tb 3.55
Dy: 0.0000 0.0000 0.0000  8 Ho 3.51-3.55, 4 Dy 3.51-3.55
Dy: 0.1247 0.0000 0.4583  6 Ho 3.51-3.55, 3 Dy 3.51-3.55, 3 Tb 3.52-3.53
Ho: 0.0000 0.5000 0.5000  8 Dy 3.51-3.55, 4 Ho 3.51-3.55
Ho: 0.1247 0.5000 0.9581  6 Dy 3.51-3.55, 3 Ho 3.51-3.55, 3 Tb 3.52-3.53

--- B ---
This record from Alexandria via LeMat-Bulk describes a relaxed Tb2Dy3Ho3 crystal. The functional is PBE.

Results
As for the magnetization: 0.0 μB/f.u.

a = 4.9949 Å, b = 4.9949 Å, c = 19.9796 Å
α = 90.00°, β = 90.00°, γ = 90.00°
Last column: nearest neighbours and their distance in Å.
Space group Immm (No. 71)
Symmetry-distinct sites (fractional):
Tb: 0.0000 0.0000 0.2500  4 Tb 3.53, 4 Ho 3.54, 4 Dy 3.54
Dy: 0.0000 0.0000 0.0000  4 Dy 3.53, 8 Ho 3.53
Dy: 0.0000 0.5000 0.1246  6 Ho 3.53, 2 Dy 3.53, 4 Tb 3.54
Ho: 0.0000 0.0000 0.5000  8 Dy 3.53, 4 Ho 3.53
Ho: 0.0000 0.5000 0.3753  6 Dy 3.53, 2 Ho 3.53, 4 Tb 3.54

Stability summary: most stable A, least stable B.

--- A ---
This record from Alexandria via LeMat-Bulk describes a relaxed TbDy2Ho3 crystal. The functional is PBE.

Results
As for the magnetization: 0.0 μB/f.u.

a = 17.2931 Å, b = 7.0531 Å, c = 6.1038 Å
α = 90.00°, β = 90.01°, γ = 90.00°
Last column: nearest neighbours and their distance in Å.
Space group C2/c (No. 15)
Symmetry-distinct sites (fractional):
Tb: 0.0000 0.1251 0.2500  8 Ho 3.52-3.53, 2 Tb 3.53, 2 Dy 3.53
Dy: 0.1667 0.3750 0.4171  8 Ho 3.52-3.53, 3 Dy 3.52-3.53, 1 Tb 3.53
Ho: 0.0000 0.3751 0.7500  4 Ho 3.52-3.53, 4 Tb 3.52-3.53, 4 Dy 3.53
Ho: 0.1668 0.1250 0.9168  4 Ho 3.52-3.53, 6 Dy 3.52-3.53, 2 Tb 3.53

--- B ---
This record from Alexandria via LeMat-Bulk describes a relaxed TbDy2Ho3 crystal. The functional is PBE.

Results
As for the magnetization: 0.0 μB/f.u.

a = 5.5910 Å, b = 8.8788 Å, c = 8.8792 Å
α = 65.66°, β = 71.70°, γ = 71.70°
Last column: nearest neighbours and their distance in Å.
Space group P-1 (No. 2)
Symmetry-distinct sites (fractional):
Tb: 0.1249 0.3759 0.3743  1 Tb 3.46, 6 Ho 3.46-3.66, 7 Dy 3.64-3.67
Dy: 0.2494 0.9183 0.5829  3 Dy 3.21-3.47, 2 Ho 3.21-3.45
Dy: 0.4999 0.3322 0.6679  3 Ho 3.22-3.47, 2 Dy 3.23-3.47
Ho: 0.0000 0.1659 0.8342  2 Ho 3.19-3.45, 3 Dy 3.22-3.45
Ho: 0.2494 0.5845 0.9168  2 Dy 3.21-3.47, 3 Ho 3.23-3.45
Ho: 0.3749 0.1259 0.1242  1 Tb 3.46, 8 Ho 3.46-3.66, 5 Dy 3.63-3.66

Stability summary: most stable A, least stable B.

--- A ---
This record from Alexandria via LeMat-Bulk describes a relaxed Tb6Dy12Ho crystal. The functional is PBE.

Results
As for the magnetization: 0.0 μB/f.u.

a = 11.8501 Å, b = 11.8501 Å, c = 15.0935 Å
α = 90.00°, β = 90.00°, γ = 120.00°
Last column: nearest neighbours and their distance in Å.
Space group R-3 (No. 148, hexagonal axes)
Symmetry-distinct sites (fractional):
Tb: 0.0108 0.4226 0.1805  6 Dy 3.27-3.58, 1 Ho 3.46, 2 Tb 3.48
Dy: 0.0141 0.8350 0.6911  4 Dy 3.40-3.54, 4 Tb 3.49-3.67, 1 Ho 3.54
Dy: 0.0421 0.8517 0.9158  3 Tb 3.27-3.43, 6 Dy 3.27-3.56
Ho: 0.0000 0.0000 0.5000  6 Tb 3.46, 6 Dy 3.54

--- B ---
This record from Alexandria via LeMat-Bulk describes a relaxed Tb6Dy12Ho crystal. The functional is PBE.

Results
As for the magnetization: 0.0 μB/f.u.

a = 14.9185 Å, b = 14.9185 Å, c = 10.2253 Å
α = 90.00°, β = 90.00°, γ = 120.00°
Last column: nearest neighbours and their distance in Å.
Space group R-3m (No. 166, hexagonal axes)
Symmetry-distinct sites (fractional):
Tb: 0.0734 0.5367 0.2181  8 Dy 3.35-3.56, 2 Tb 3.52
Dy: 0.0000 0.3880 0.5000  5 Dy 3.34-3.69, 4 Tb 3.37-3.46
Dy: 0.0780 0.1560 0.2508  1 Ho 3.26, 4 Tb 3.35-3.56, 4 Dy 3.41-3.49
Ho: 0.0000 0.0000 0.0000  6 Dy 3.26

Stability summary: most stable A, least stable B.

--- A ---
This record from Alexandria via LeMat-Bulk describes a relaxed Tb2Dy9Ho crystal. The functional is PBE.

Results
As for the magnetization: 0.0 μB/f.u.

a = 5.0024 Å, b = 5.0024 Å, c = 15.0005 Å
α = 90.00°, β = 90.00°, γ = 90.00°
Last column: nearest neighbours and their distance in Å.
Space group P4/mmm (No. 123)
Symmetry-distinct sites (fractional):
Tb: 0.0000 0.0000 0.1670  12 Dy 3.54
Dy: 0.0000 0.5000 0.0000  8 Dy 3.54, 4 Tb 3.54
Dy: 0.0000 0.5000 0.3338  8 Dy 3.53-3.54, 2 Ho 3.53, 2 Tb 3.54
Dy: 0.5000 0.5000 0.1670  4 Tb 3.54, 8 Dy 3.54
Dy: 0.5000 0.5000 0.5000  8 Dy 3.53, 4 Ho 3.54
Ho: 0.0000 0.0000 0.5000  12 Dy 3.53-3.54

--- B ---
This record from Alexandria via LeMat-Bulk describes a relaxed Tb2Dy9Ho crystal. The functional is PBE.

Results
As for the magnetization: 0.0 μB/f.u.

a = 11.1753 Å, b = 11.1753 Å, c = 3.4774 Å
α = 90.00°, β = 90.00°, γ = 120.00°
Last column: nearest neighbours and their distance in Å.
Space group P6/mmm (No. 191)
Symmetry-distinct sites (fractional):
Tb: 0.3333 0.6667 0.0000  9 Dy 3.23-3.52, 2 Tb 3.48
Dy: 0.0000 0.5000 0.0000  2 Tb 3.23, 10 Dy 3.48-3.60
Dy: 0.1752 0.3504 0.5000  8 Dy 3.39-3.60, 2 Tb 3.52
Ho: 0.0000 0.0000 0.0000  2 Ho 3.48, 12 Dy 3.81

Stability summary: most stable A, least stable B.

--- A ---
This record from Alexandria via LeMat-Bulk describes a relaxed Tb3Dy6Ho2 crystal. The functional is PBE.

Results
As for the magnetization: 0.0 μB/f.u.

a = 3.5372 Å, b = 3.5372 Å, c = 95.0479 Å
α = 90.00°, β = 90.00°, γ = 120.00°
Last column: nearest neighbours and their distance in Å.
Space group R-3m (No. 166, hexagonal axes)
Symmetry-distinct sites (fractional):
Tb: 0.0000 0.0000 0.0000  6 Tb 3.54, 6 Dy 3.54
Tb: 0.0000 0.0000 0.2725  6 Tb 3.54, 6 Dy 3.54
Dy: 0.0000 0.0000 0.0912  3 Ho 3.52, 6 Dy 3.54, 3 Tb 3.54
Dy: 0.0000 0.0000 0.1818  3 Ho 3.52, 9 Dy 3.53-3.54
Dy: 0.0000 0.0000 0.3637  6 Dy 3.54, 6 Tb 3.54
Ho: 0.0000 0.0000 0.4547  6 Dy 3.52, 6 Ho 3.54

--- B ---
This record from Alexandria via LeMat-Bulk describes a relaxed Tb3Dy6Ho2 crystal. The functional is PBE.

Results
As for the magnetization: 0.0 μB/f.u.

a = 4.6992 Å, b = 4.6992 Å, c = 33.0535 Å
α = 90.00°, β = 90.00°, γ = 90.00°
Last column: nearest neighbours and their distance in Å.
Space group I4/mmm (No. 139)
Symmetry-distinct sites (fractional):
Tb: 0.0000 0.0000 0.0000  8 Ho 3.65
Tb: 0.0000 0.0000 0.2003  9 Dy 3.33-3.52
Dy: 0.0000 0.0000 0.3036  5 Tb 3.33-3.41, 4 Dy 3.43
Dy: 0.0000 0.5000 0.1210  6 Dy 3.32-3.43, 2 Ho 3.42, 2 Tb 3.52
Ho: 0.0000 0.0000 0.4541  1 Ho 3.03

Stability summary: most stable A, least stable B.

--- A ---
This record from Alexandria via LeMat-Bulk describes a relaxed Tb8Dy3Ho4 crystal. The functional is PBE.

Results
As for the magnetization: 0.0 μB/f.u.

a = 6.8998 Å, b = 6.8998 Å, c = 35.1064 Å
α = 90.00°, β = 90.00°, γ = 120.00°
Last column: nearest neighbours and their distance in Å.
Space group R-3m (No. 166, hexagonal axes)
Symmetry-distinct sites (fractional):
Tb: 0.0000 0.0000 0.2454  1 Ho 3.19, 3 Dy 3.41, 6 Tb 3.45
Tb: 0.0015 0.5008 0.7502  6 Tb 3.43-3.47, 3 Ho 3.47-3.54, 2 Dy 3.53
Dy: 0.0000 0.5000 0.5000  6 Tb 3.41-3.53, 4 Dy 3.45, 2 Ho 3.45
Ho: 0.0000 0.0000 0.0000  6 Tb 3.54
Ho: 0.0000 0.0000 0.3362  4 Tb 3.19-3.47
Ho: 0.0000 0.0000 0.5000  6 Dy 3.45, 6 Tb 3.54

--- B ---
This record from Alexandria via LeMat-Bulk describes a relaxed Tb8Dy3Ho4 crystal. The functional is PBE.

Results
As for the magnetization: 0.0 μB/f.u.

a = 13.3141 Å, b = 12.7071 Å, c = 6.7246 Å
α = 90.00°, β = 120.31°, γ = 90.00°
Last column: nearest neighbours and their distance in Å.
Space group C2/m (No. 12)
Symmetry-distinct sites (fractional):
Tb: 0.0000 0.1434 0.0000  2 Ho 3.59, 4 Dy 3.60-3.82, 7 Tb 3.60-3.64
Tb: 0.0000 0.2480 0.5000  3 Dy 3.15-3.33, 3 Ho 3.20-3.33
Tb: 0.2319 0.0000 0.4674  3 Dy 3.19-3.20, 2 Tb 3.20-3.52, 2 Ho 3.46-3.56
Tb: 0.2340 0.0000 0.9931  4 Ho 3.18-3.52, 2 Tb 3.20-3.52, 1 Dy 3.21
Dy: 0.0000 0.0000 0.5000  6 Tb 3.15-3.21
Dy: 0.2500 0.2500 0.5000  4 Tb 3.19-3.33, 2 Ho 3.36
Ho: 0.0000 0.5000 0.0000  2 Ho 3.36, 4 Tb 3.52-3.56
Ho: 0.0000 0.5000 0.5000  6 Tb 3.20-3.46, 2 Ho 3.36
Ho: 0.2500 0.2500 0.0000  4 Tb 3.18-3.33, 2 Dy 3.36

Stability summary: most stable A, least stable B.

--- A ---
This record from Alexandria via LeMat-Bulk describes a relaxed TbDy4Ho2 crystal. The functional is PBE.

Results
As for the magnetization: 0.0 μB/f.u.

a = 16.6160 Å, b = 3.5061 Å, c = 8.6774 Å
α = 90.00°, β = 119.56°, γ = 90.00°
Last column: nearest neighbours and their distance in Å.
Space group C2/m (No. 12)
Symmetry-distinct sites (fractional):
Tb: 0.0000 0.0000 0.0000  2 Ho 3.31, 2 Tb 3.51, 4 Dy 3.54
Dy: 0.1410 0.5000 0.8351  7 Dy 3.51-3.76, 4 Ho 3.57, 2 Tb 3.73
Dy: 0.2044 0.5000 0.2936  3 Ho 3.30-3.47, 5 Dy 3.51-3.58, 2 Tb 3.54
Ho: 0.0703 0.0000 0.4297  1 Ho 3.12, 3 Dy 3.30-3.47, 1 Tb 3.31

--- B ---
This record from Alexandria via LeMat-Bulk describes a relaxed TbDy4Ho2 crystal. The functional is PBE.

Results
As for the magnetization: 0.0 μB/f.u.

a = 6.0165 Å, b = 6.5490 Å, c = 11.5017 Å
α = 90.00°, β = 104.56°, γ = 90.00°
Last column: nearest neighbours and their distance in Å.
Space group P2_1/m (No. 11)
Symmetry-distinct sites (fractional):
Tb: 0.0215 0.2500 0.3551  6 Dy 3.32-3.43, 2 Ho 3.34-3.45
Dy: 0.1518 0.2500 0.6560  3 Ho 3.28-3.62, 3 Tb 3.35-3.43, 2 Dy 3.40
Dy: 0.2825 0.7500 0.9294  1 Tb 3.32, 4 Ho 3.32-3.38, 4 Dy 3.47-3.55
Dy: 0.3511 0.5044 0.2109  5 Dy 3.22-3.55, 1 Tb 3.33, 2 Ho 3.45-3.50
Ho: 0.1545 0.2500 0.9419  9 Dy 3.28-3.50
Ho: 0.3999 0.7500 0.5037  2 Tb 3.34-3.45, 6 Dy 3.37-3.68, 2 Ho 3.50

Stability summary: most stable A, least stable B.

--- A ---
This record from Alexandria via LeMat-Bulk describes a relaxed Tb8DyHo2 crystal. The functional is PBE.

Results
As for the magnetization: 0.0 μB/f.u.

a = 8.9932 Å, b = 16.2614 Å, c = 5.8679 Å
α = 90.00°, β = 124.60°, γ = 90.00°
Last column: nearest neighbours and their distance in Å.
Space group C2/m (No. 12)
Symmetry-distinct sites (fractional):
Tb: 0.0000 0.2052 0.0000  1 Dy 3.34, 4 Ho 3.39-3.73, 6 Tb 3.56-3.65
Tb: 0.0682 0.5000 0.7933  3 Tb 2.93-3.19
Tb: 0.2177 0.1196 0.6844  4 Tb 3.19-3.56, 2 Ho 3.47-3.49
Dy: 0.0000 0.0000 0.0000  4 Tb 3.34-3.35
Ho: 0.0000 0.3097 0.5000  10 Tb 3.39-3.73

--- B ---
This record from Alexandria via LeMat-Bulk describes a relaxed Tb8DyHo2 crystal. The functional is PBE.

Results
As for the magnetization: 0.0 μB/f.u.

a = 6.1314 Å, b = 6.1385 Å, c = 9.3899 Å
α = 89.94°, β = 83.69°, γ = 80.30°
Last column: nearest neighbours and their distance in Å.
Space group P-1 (No. 2)
Symmetry-distinct sites (fractional):
Tb: 0.0456 0.4087 0.3182  8 Tb 3.54-3.55, 2 Ho 3.54, 2 Dy 3.54
Tb: 0.1361 0.2272 0.9547  9 Tb 3.54-3.55, 3 Ho 3.54-3.55
Tb: 0.2275 0.0455 0.5909  7 Tb 3.54-3.55, 3 Ho 3.54-3.55, 2 Dy 3.54
Tb: 0.4094 0.6817 0.8636  8 Tb 3.54-3.55, 3 Ho 3.54-3.55, 1 Dy 3.55
Dy: 0.5000 0.5000 0.5000  10 Tb 3.54-3.55, 2 Ho 3.54
Ho: 0.3180 0.8635 0.2275  11 Tb 3.54-3.55, 1 Dy 3.54

Stability summary: most stable B, least stable A.

--- A ---
This record from Alexandria via LeMat-Bulk describes a relaxed Tb5Dy4Ho crystal. The functional is PBE.

Results
As for the magnetization: 0.0 μB/f.u.

a = 3.5446 Å, b = 6.7860 Å, c = 13.8255 Å
α = 82.08°, β = 89.88°, γ = 75.06°
Last column: nearest neighbours and their distance in Å.
Space group P-1 (No. 2)
Symmetry-distinct sites (fractional):
Tb: 0.0000 0.0000 0.0000  2 Ho 3.39, 2 Tb 3.54, 8 Dy 3.55-3.80
Tb: 0.0491 0.9174 0.3837  4 Dy 3.48-3.58, 8 Tb 3.52-3.62
Tb: 0.3111 0.3757 0.4149  3 Dy 3.43-3.69, 9 Tb 3.52-3.62
Dy: 0.3483 0.3260 0.7905  1 Ho 3.39, 5 Dy 3.45-3.67, 5 Tb 3.51-3.77
Dy: 0.4275 0.2043 0.1916  1 Ho 3.21, 4 Tb 3.43-3.55, 4 Dy 3.45-3.54
Ho: 0.0000 0.5000 0.0000  4 Dy 3.21-3.39, 2 Tb 3.39, 2 Ho 3.54

--- B ---
This record from Alexandria via LeMat-Bulk describes a relaxed Tb5Dy4Ho crystal. The functional is PBE.

Results
As for the magnetization: 0.0 μB/f.u.

a = 10.1719 Å, b = 10.1719 Å, c = 6.2227 Å
α = 90.00°, β = 90.00°, γ = 90.00°
Last column: nearest neighbours and their distance in Å.
Space group I4 (No. 79)
Symmetry-distinct sites (fractional):
Tb: 0.0000 0.0000 0.0000  1 Ho 2.87
Tb: 0.1497 0.2284 0.7300  4 Dy 3.20-3.50, 1 Ho 3.24, 1 Tb 3.25
Dy: 0.0434 0.3439 0.2311  4 Tb 3.20-3.50, 1 Dy 3.30
Ho: 0.0000 0.0000 0.4606  1 Tb 2.87

Stability summary: most stable A, least stable B.